[1]
La3NdPt2: relaxed, PBE.

Geometry as CIF:
```
data_La3NdPt2
_chemical_formula_sum 'La12 Nd4 Pt8'
_space_group_name_H-M_alt 'C 1 2/c 1'
_space_group_IT_number 15
_space_group_name_Hall '-C 2yc'
_cell_length_a 13.376
_cell_length_b 7.076
_cell_length_c 8.028
_cell_angle_alpha 90.00
_cell_angle_beta 107.43
_cell_angle_gamma 90.00
loop_
_atom_site_label
_atom_site_fract_x
_atom_site_fract_y
_atom_site_fract_z
La1 0.000 0.243 0.250
La2 0.216 0.500 0.108
Nd1 0.000 0.244 0.750
Pt1 0.123 0.001 0.562
```

Summary:
- E_form: -779.5 meV per atom


[2]
Rb3ZrSc2Se6: relaxed, PBE.

Geometry as CIF:
```
data_Rb3ZrSc2Se6
_chemical_formula_sum 'Rb6 Zr2 Sc4 Se12'
_space_group_name_H-M_alt 'C 1 2/m 1'
_space_group_IT_number 12
_space_group_name_Hall '-C 2y'
_cell_length_a 6.946
_cell_length_b 12.030
_cell_length_c 8.308
_cell_angle_alpha 90.00
_cell_angle_beta 106.18
_cell_angle_gamma 90.00
loop_
_atom_site_label
_atom_site_fract_x
_atom_site_fract_y
_atom_site_fract_z
Rb1 0.000 0.000 0.000
Rb2 0.000 0.333 0.000
Zr1 0.000 0.500 0.500
Sc1 0.000 0.167 0.500
Se1 0.230 0.334 0.690
Se2 0.231 0.000 0.690
```


[3]
Dy2TcI: relaxed, PBE.

Geometry as CIF:
```
data_Dy2TcI
_chemical_formula_sum 'Dy6 Tc3 I3'
_space_group_name_H-M_alt 'R -3 m'
_space_group_IT_number 166
_space_group_name_Hall '-R 3 2"'
_cell_length_a 3.7454
_cell_length_b 3.7454
_cell_length_c 26.3173
_cell_angle_alpha 90.00
_cell_angle_beta 90.00
_cell_angle_gamma 120.00
loop_
_atom_site_label
_atom_site_fract_x
_atom_site_fract_y
_atom_site_fract_z
Dy1 0.0000 0.0000 0.2366
Tc1 0.0000 0.0000 0.5000
I1 0.0000 0.0000 0.0000
```

Summary:
- Energy above the most stable polymorph in this dataset: 0.111 eV/atom


[4]
NdEr6Cd2: relaxed, PBE.

Geometry as CIF:
```
data_NdEr6Cd2
_chemical_formula_sum 'Nd2 Er12 Cd4'
_space_group_name_H-M_alt 'C 1 2/m 1'
_space_group_IT_number 12
_space_group_name_Hall '-C 2y'
_cell_length_a 12.576
_cell_length_b 3.711
_cell_length_c 11.827
_cell_angle_alpha 90.00
_cell_angle_beta 108.10
_cell_angle_gamma 90.00
loop_
_atom_site_label
_atom_site_fract_x
_atom_site_fract_y
_atom_site_fract_z
Nd1 0.000 0.000 0.000
Er1 0.014 0.000 0.343
Er2 0.184 0.500 0.875
Er3 0.187 0.500 0.582
Cd1 0.151 0.500 0.218
```

Summary:
- E_form: -122.8 meV per atom


[5]
Ca3InPt: relaxed, PBE.

Geometry as CIF:
```
data_Ca3InPt
_chemical_formula_sum 'Ca3 In1 Pt1'
_space_group_name_H-M_alt 'P m -3 m'
_space_group_IT_number 221
_space_group_name_Hall '-P 4 2 3'
_cell_length_a 5.524
_cell_length_b 5.524
_cell_length_c 5.524
_cell_angle_alpha 90.00
_cell_angle_beta 90.00
_cell_angle_gamma 90.00
loop_
_atom_site_label
_atom_site_fract_x
_atom_site_fract_y
_atom_site_fract_z
Ca1 0.000 0.000 0.500
In1 0.500 0.500 0.500
Pt1 0.000 0.000 0.000
```

Summary:
- Energy above the most stable polymorph in this dataset: 0.000 eV/atom
- E_form: -491.0 meV per atom


[6]
LaPmSnN3: relaxed, PBE.

Geometry as CIF:
```
data_LaPmSnN3
_chemical_formula_sum 'La2 Pm2 Sn2 N6'
_space_group_name_H-M_alt 'P 1 21/m 1'
_space_group_IT_number 11
_space_group_name_Hall '-P 2yb'
_cell_length_a 6.820
_cell_length_b 3.461
_cell_length_c 9.792
_cell_angle_alpha 90.00
_cell_angle_beta 92.46
_cell_angle_gamma 90.00
loop_
_atom_site_label
_atom_site_fract_x
_atom_site_fract_y
_atom_site_fract_z
La1 0.188 0.250 0.238
Pm1 0.337 0.750 0.886
Sn1 0.179 0.250 0.589
N1 0.102 0.250 0.805
N2 0.158 0.750 0.452
N3 0.387 0.750 0.124
```


[7]
La5Al2I2: relaxed, PBE.

Geometry as CIF:
```
data_La5Al2I2
_chemical_formula_sum 'La20 Al8 I8'
_space_group_name_H-M_alt 'C m c e'
_space_group_IT_number 64
_space_group_name_Hall '-C 2ac 2'
_cell_length_a 16.280
_cell_length_b 8.490
_cell_length_c 8.332
_cell_angle_alpha 90.00
_cell_angle_beta 90.00
_cell_angle_gamma 90.00
loop_
_atom_site_label
_atom_site_fract_x
_atom_site_fract_y
_atom_site_fract_z
La1 0.000 0.000 0.000
La2 0.131 0.173 0.331
Al1 0.000 0.117 0.616
I1 0.202 0.000 0.000
```


[8]
ZrZn2Pt2: relaxed, PBE.

Geometry as CIF:
```
data_ZrZn2Pt2
_chemical_formula_sum 'Zr2 Zn4 Pt4'
_space_group_name_H-M_alt 'P 4/m b m'
_space_group_IT_number 127
_space_group_name_Hall '-P 4 2ab'
_cell_length_a 7.557
_cell_length_b 7.557
_cell_length_c 2.887
_cell_angle_alpha 90.00
_cell_angle_beta 90.00
_cell_angle_gamma 90.00
loop_
_atom_site_label
_atom_site_fract_x
_atom_site_fract_y
_atom_site_fract_z
Zr1 0.000 0.000 0.000
Zn1 0.158 0.342 0.500
Pt1 0.139 0.639 0.000
```

Summary:
- Energy above the most stable polymorph in this dataset: 0.209 eV/atom
- E_form: -522.7 meV per atom


Number 1: final energy -6.05 eV/atom. Number 2: final energy -5.23 eV/atom. Number 3: final energy -5.57 eV/atom. Number 4: final energy -3.90 eV/atom. Number 5: final energy -3.45 eV/atom. Number 6: final energy -7.10 eV/atom. Number 7: final energy -4.54 eV/atom. Number 8: final energy -5.16 eV/atom.